one) VASP calculation (PBE) on a relaxed CoMoBr2 crystal.

The structure in CIF format:
```
data_CoMoBr2
_cell_length_a 3.116
_cell_length_b 5.833
_cell_length_c 8.438
_cell_angle_alpha 90.00
_cell_angle_beta 90.00
_cell_angle_gamma 90.00
_space_group_name_H-M_alt 'I m m m'
_space_group_IT_number 71
_space_group_name_Hall '-I 2 2'
loop_
_atom_site_label
_atom_site_fract_x
_atom_site_fract_y
_atom_site_fract_z
Co1 0.000 0.000 0.000
Mo1 0.000 0.000 0.500
Br1 0.000 0.500 0.250
```

***

two) VASP calculation (PBE) on a relaxed CoMoBr2 crystal.

The structure in CIF format:
```
data_CoMoBr2
_cell_length_a 3.109
_cell_length_b 5.931
_cell_length_c 8.312
_cell_angle_alpha 90.00
_cell_angle_beta 90.00
_cell_angle_gamma 90.00
_space_group_name_H-M_alt 'C m m m'
_space_group_IT_number 65
_space_group_name_Hall '-C 2 2'
loop_
_atom_site_label
_atom_site_fract_x
_atom_site_fract_y
_atom_site_fract_z
Co1 0.000 0.000 0.000
Mo1 0.000 0.000 0.500
Br1 0.000 0.500 0.242
```

***

On energetic grounds, two) is preferred over the next structure by 37 meV per atom.

***

one) VASP calculation (PBE) on a relaxed CoMoBr2 crystal.

The structure in CIF format:
```
data_CoMoBr2
_cell_length_a 4.111
_cell_length_b 3.468
_cell_length_c 7.077
_cell_angle_alpha 90.00
_cell_angle_beta 102.33
_cell_angle_gamma 90.00
_space_group_name_H-M_alt 'P 1 m 1'
_space_group_IT_number 6
loop_
_space_group_symop_operation_xyz
'x,y,z'
'x,-y,z'
loop_
_atom_site_label
_atom_site_fract_x
_atom_site_fract_y
_atom_site_fract_z
Co1 0.000 0.000 0.000
Mo1 0.351 0.500 0.982
Br1 0.536 0.000 0.737
Br2 0.888 0.500 0.244
```

***

two) VASP calculation (PBE) on a relaxed CoMoBr2 crystal.

The structure in CIF format:
```
data_CoMoBr2
_cell_length_a 3.226
_cell_length_b 3.226
_cell_length_c 6.399
_cell_angle_alpha 90.00
_cell_angle_beta 90.00
_cell_angle_gamma 90.00
_space_group_name_H-M_alt 'P 4/m m m'
_space_group_IT_number 123
_space_group_name_Hall '-P 4 2'
loop_
_atom_site_label
_atom_site_fract_x
_atom_site_fract_y
_atom_site_fract_z
Co1 0.000 0.000 0.000
Mo1 0.000 0.000 0.500
Br1 0.500 0.500 0.248
```

***

On energetic grounds, one) is preferred over the next structure by 611 meV per atom.

***

one) VASP calculation (PBE) on a relaxed CoMoBr crystal.

The structure in CIF format:
```
data_CoMoBr
_cell_length_a 4.3052
_cell_length_b 4.3052
_cell_length_c 2.9198
_cell_angle_alpha 90.00
_cell_angle_beta 90.00
_cell_angle_gamma 120.00
_space_group_name_H-M_alt 'P -6 m 2'
_space_group_IT_number 187
_space_group_name_Hall 'P -6 2'
loop_
_atom_site_label
_atom_site_fract_x
_atom_site_fract_y
_atom_site_fract_z
Co1 0.0000 0.0000 0.0000
Mo1 0.6667 0.3333 0.5000
Br1 0.3333 0.6667 0.5000
```

***

two) VASP calculation (PBE) on a relaxed CoMoBr crystal.

The structure in CIF format:
```
data_CoMoBr
_cell_length_a 2.958
_cell_length_b 2.958
_cell_length_c 11.330
_cell_angle_alpha 90.00
_cell_angle_beta 90.00
_cell_angle_gamma 90.00
_space_group_name_H-M_alt 'I 4 m m'
_space_group_IT_number 107
_space_group_name_Hall 'I 4 -2'
loop_
_atom_site_label
_atom_site_fract_x
_atom_site_fract_y
_atom_site_fract_z
Co1 0.000 0.000 0.000
Mo1 0.000 0.000 0.370
Br1 0.000 0.000 0.709
```

***

On energetic grounds, two) is preferred over the next structure by 293 meV per atom.